Density functional theory data (PBE-GGA) for Y2ZnFe after structural relaxation.

Summary:
* DFT formation energy: 0.3 kcal/mol of atoms

Lattice parameters (Å, degrees): 6.854 6.854 6.854 35.44 35.44 35.44
Site moments in Bohr magnetons follow the coordinates.
Element x y z (fractional)
Zn1 0.457 0.457 0.457  -0.04
Y1 0.217 0.217 0.217  -0.20
Y2 0.034 0.034 0.034  -0.23
Fe1 0.792 0.792 0.792  1.66

=====

Density functional theory data (PBE-GGA) for MgZnSe2 after structural relaxation.

Summary:
* formation energy from raw total energies: -974 meV per atom

Lattice parameters (Å, degrees): 4.144 6.752 7.225 90.01 90.00 90.02
Element x y z (fractional)
Zn1 0.786 0.088 0.709
Zn2 0.286 0.588 0.870
Se1 0.787 0.206 0.383
Se2 0.287 0.706 0.195
Se3 0.286 0.218 0.863
Se4 0.786 0.718 0.715
Mg1 0.787 0.589 0.376
Mg2 0.287 0.089 0.203

=====

Density functional theory data (PBE-GGA) for MnFe2Hg after structural relaxation.

Summary:
* DFT formation energy: 9.5 kcal/mol of atoms

Lattice parameters (Å, degrees): 4.760 4.760 4.680 79.39 79.39 34.90
Site moments in Bohr magnetons follow the coordinates.
Element x y z (fractional)
Fe1 0.998 0.998 0.028  2.67
Fe2 0.502 0.502 0.472  2.67
Mn1 0.250 0.250 0.250  3.29
Hg1 0.750 0.750 0.750  -0.05

=====

Density functional theory data (PBE-GGA) for La5Ga2Au after structural relaxation.

Summary:
* DFT formation energy: -11.5 kcal/mol of atoms

Lattice parameters (Å, degrees): 7.837 7.837 9.563 114.19 114.19 90.00
Element x y z (fractional)
La1 0.973 0.473 0.296
La2 0.677 0.177 0.704
La3 0.500 0.500 0.000
La4 0.823 0.973 0.296
La5 0.027 0.527 0.704
La6 0.527 0.677 0.704
La7 0.177 0.027 0.704
La8 0.473 0.323 0.296
La9 0.323 0.823 0.296
La10 0.000 0.000 0.000
Ga1 0.616 0.116 0.000
Ga2 0.884 0.616 0.000
Ga3 0.116 0.384 0.000
Ga4 0.384 0.884 0.000
Au1 0.250 0.250 0.500
Au2 0.750 0.750 0.500

=====

Density functional theory data (PBE-GGA) for SmHo2ScP4 after structural relaxation.

Summary:
* DFT formation energy: -35.5 kcal/mol of atoms

Lattice parameters (Å, degrees): 3.970 6.862 6.870 109.46 90.00 90.00
Element x y z (fractional)
P1 0.000 0.241 0.749
P2 0.500 0.239 0.244
P3 0.500 0.761 0.756
P4 0.000 0.759 0.251
Ho1 0.000 0.500 0.500
Ho2 0.500 0.000 0.500
Sc1 0.000 0.000 0.000
Sm1 0.500 0.500 0.000

=====

Density functional theory data (PBE-GGA) for MgIrPt2 after structural relaxation.

Summary:
* DFT formation energy: -4.4 kcal/mol of atoms

Lattice parameters (Å, degrees): 9.196 9.196 9.196 17.57 17.57 17.57
Site moments in Bohr magnetons follow the coordinates.
Element x y z (fractional)
Ir1 0.498 0.498 0.498  0.34
Mg1 0.750 0.750 0.750  0.00
Pt1 0.248 0.248 0.248  0.20
Pt2 0.003 0.003 0.003  0.06

=====

| no. | DOS(E_F) (states/eV/f.u.) |
| --- | --- |
| 1 | 5.1 |
| 2 | 0.0 |
| 3 | 3.1 |
| 4 | 9.1 |
| 5 | 0.7 |
| 6 | 6.1 |